{"formula": "Nb2IrAu2", "functional": "PBE", "state": "optimized geometry", "magmom_total_mub_per_cell": 0.5, "ef_ev_per_fu": 3.12, "lattice": [[-2.887, 1.777, -1.562], [-0.960, -3.132, -1.789], [-5.836, -2.454, 3.534]], "species": ["Nb", "Au", "Ir", "Nb", "Au"], "frac_coords": [[0.750, 0.250, 0.500], [0.404, 0.404, 0.193], [0.000, 0.000, 0.000], [0.250, 0.750, 0.500], [0.596, 0.596, 0.807]]}